VASP calculation (GGA+U) on an optimized crystal structure of MnHg2F8.

Computed properties:
distance to the lowest polymorph of the same formula	0.611	eV per formula unit
total energy	-3.791	eV per atom
crystal system	trigonal

Lattice parameters (Å, degrees): 4.418 6.685 6.685 120.00 90.00 90.00
Each line ends with the local moment (μB).
Positions (direct):
Mn  0.500  0.000  0.000  3.03
Hg  0.724  0.667  0.333  -0.01
Hg  0.276  0.333  0.667  -0.01
F  0.777  0.333  0.667  -0.01
F  0.223  0.667  0.333  -0.01
F  0.264  0.132  0.264  -0.01
F  0.736  0.868  0.736  -0.01
F  0.736  0.264  0.132  -0.01
F  0.264  0.736  0.868  -0.01
F  0.264  0.132  0.868  -0.01
F  0.736  0.868  0.132  -0.01